1.
## Na2SrZnC (GGA-PBE)

Data for crystalline Na2SrZnC at its relaxed geometry.

For the volume, the calculation gives 26.35 Å³ per atom. Its density of states at the Fermi level is 2.80 states/eV per cell. The total moment is 0.00 μB/atom. The energy comes out at -2.2038 eV per atom. The calculation puts the formation energy at 0.760 eV per atom.

The structure belongs to space group P4/mmm (No. 123); the cell edges are 5.846, 5.846 and 3.855 Å and the angles 90.00°, 90.00° and 90.00°. Symmetry generates all atoms from Na at (0.000, 0.500, 0.000), Sr at (0.000, 0.000, 0.500), Zn at (0.500, 0.500, 0.000) and C at (0.500, 0.500, 0.500).

2.
## NaTa2C (GGA-PBE)

Data for crystalline NaTa2C at its relaxed geometry.

For the volume, the calculation gives 23.29 Å³ per atom. Its density of states at the Fermi level is 9.53 states/eV per cell. The total moment is 0.00 μB/atom. The energy comes out at -7.5141 eV per atom. The calculation puts the formation energy at 1.048 eV per atom.

The structure belongs to space group I-42d (No. 122); the cell edges are 5.959, 5.959 and 10.494 Å and the angles 90.00°, 90.00° and 90.00°. Symmetry generates all atoms from Na at (0.000, 0.000, 0.000), Ta at (0.055, 0.250, 0.625) and C at (0.000, 0.000, 0.500).

3.
## NaTa2C2 (GGA-PBE)

Data for crystalline NaTa2C2 at its relaxed geometry.

The calculation puts the energy relative to the lowest polymorph listed for this composition at 0.00 eV per formula unit. For the volume, the calculation gives 15.12 Å³ per atom. Its density of states at the Fermi level is 5.52 states/eV per cell. The total moment is 0.00 μB/atom. The energy comes out at -8.4863 eV per atom. The calculation puts the formation energy at 0.208 eV per atom.

The structure belongs to space group I4/mmm (No. 139); the cell edges are 4.092, 4.092 and 9.030 Å and the angles 90.00°, 90.00° and 90.00°. Symmetry generates all atoms from Na at (0.000, 0.000, 0.000), Ta at (0.000, 0.000, 0.319) and C at (0.000, 0.500, 0.250).

4.
## Na4TaC2 (GGA-PBE)

Data for crystalline Na4TaC2 at its relaxed geometry.

For the volume, the calculation gives 32.40 Å³ per atom. Its density of states at the Fermi level is 12.03 states/eV per cell. The total moment is 0.69 μB/atom. The energy comes out at -3.7852 eV per atom. The calculation puts the formation energy at 1.297 eV per atom.

The structure belongs to space group I4/mmm (No. 139); the cell edges are 6.014, 6.014 and 12.541 Å and the angles 90.00°, 90.00° and 90.00°. Symmetry generates all atoms from Na at (0.000, 0.000, 0.239), Na at (0.000, 0.500, 0.000), Ta at (0.000, 0.000, 0.500) and C at (0.000, 0.000, 0.051).

5.
## NaTaC3 (GGA-PBE)

Data for crystalline NaTaC3 at its relaxed geometry.

For the volume, the calculation gives 15.19 Å³ per atom. Its density of states at the Fermi level is 1.99 states/eV per cell. The total moment is 0.00 μB/atom. The energy comes out at -6.7124 eV per atom. The calculation puts the formation energy at 1.456 eV per atom.

The structure belongs to space group Pm-3m (No. 221); the cell edges are 4.235, 4.235 and 4.235 Å and the angles 90.00°, 90.00° and 90.00°. Symmetry generates all atoms from Na at (0.000, 0.000, 0.000), Ta at (0.500, 0.500, 0.500) and C at (0.000, 0.500, 0.500).

6.
## NaTa2C2 (GGA-PBE)

Data for crystalline NaTa2C2 at its relaxed geometry.

The calculation puts the energy relative to the lowest polymorph listed for this composition at 3.17 eV per formula unit. For the volume, the calculation gives 12.56 Å³ per atom. Its density of states at the Fermi level is 4.86 states/eV per cell. The total moment is 0.00 μB/atom. The energy comes out at -7.8519 eV per atom. The calculation puts the formation energy at 0.842 eV per atom.

The structure belongs to space group P4/mbm (No. 127); the cell edges are 6.631, 6.631 and 2.856 Å and the angles 90.00°, 90.00° and 90.00°. Symmetry generates all atoms from Na at (0.000, 0.000, 0.000), Ta at (0.137, 0.363, 0.000) and C at (0.149, 0.649, 0.500).

7.
## Na2ZrTaC (GGA-PBE)

Data for crystalline Na2ZrTaC at its relaxed geometry.

For the volume, the calculation gives 19.08 Å³ per atom. Its density of states at the Fermi level is 5.73 states/eV per cell. The total moment is 0.00 μB/atom. The energy comes out at -5.4355 eV per atom. The calculation puts the formation energy at 1.017 eV per atom.

The structure belongs to space group P4/mmm (No. 123); the cell edges are 4.669, 4.669 and 4.376 Å and the angles 90.00°, 90.00° and 90.00°. Symmetry generates all atoms from Na at (0.000, 0.500, 0.000), Zr at (0.000, 0.000, 0.500), Ta at (0.500, 0.500, 0.500) and C at (0.500, 0.500, 0.000).

8.
## NaTb2C (GGA-PBE)

Data for crystalline NaTb2C at its relaxed geometry.

For the volume, the calculation gives 27.43 Å³ per atom. Its density of states at the Fermi level is 7.59 states/eV per cell. The total moment is 0.00 μB/atom. The energy comes out at -5.0596 eV per atom. The calculation puts the formation energy at -0.109 eV per atom.

The structure belongs to space group R-3m (No. 166, hexagonal axes); the cell edges are 3.5657, 3.5657 and 29.8940 Å and the angles 90.00°, 90.00° and 120.00°. Symmetry generates all atoms from Na at (0.0000, 0.0000, 0.0000), Tb at (0.0000, 0.0000, 0.1214) and C at (0.0000, 0.0000, 0.5000).

9.
## NaTc2C (GGA-PBE)

Data for crystalline NaTc2C at its relaxed geometry.

For the volume, the calculation gives 20.97 Å³ per atom. Its density of states at the Fermi level is 9.56 states/eV per cell. The total moment is 0.45 μB/atom. The energy comes out at -6.6967 eV per atom. The calculation puts the formation energy at 1.122 eV per atom.

The structure belongs to space group I4_1/amd (No. 141, origin choice 2); the cell edges are 5.792, 5.792 and 10.003 Å and the angles 90.00°, 90.00° and 90.00°. Symmetry generates all atoms from Na at (0.000, 0.250, 0.375), Tc at (0.000, 0.000, 0.000) and C at (0.000, 0.250, 0.875).

10.
## NaTc2C2 (GGA-PBE)

Data for crystalline NaTc2C2 at its relaxed geometry.

The calculation puts the energy relative to the lowest polymorph listed for this composition at 0.00 eV per formula unit. For the volume, the calculation gives 16.27 Å³ per atom. Its density of states at the Fermi level is 5.80 states/eV per cell. The total moment is 0.00 μB/atom. The energy comes out at -7.7282 eV per atom. The calculation puts the formation energy at 0.372 eV per atom.

The structure belongs to space group I4/mmm (No. 139); the cell edges are 3.901, 3.901 and 10.691 Å and the angles 90.00°, 90.00° and 90.00°. Symmetry generates all atoms from Na at (0.000, 0.000, 0.000), Tc at (0.000, 0.500, 0.250) and C at (0.000, 0.000, 0.308).

11.
## NaTc2C2 (GGA-PBE)

Data for crystalline NaTc2C2 at its relaxed geometry.

The calculation puts the energy relative to the lowest polymorph listed for this composition at 2.31 eV per formula unit. For the volume, the calculation gives 10.67 Å³ per atom. Its density of states at the Fermi level is 5.99 states/eV per cell. The total moment is 0.00 μB/atom. The energy comes out at -7.2662 eV per atom. The calculation puts the formation energy at 0.834 eV per atom.

The structure belongs to space group P4/mbm (No. 127); the cell edges are 6.143, 6.143 and 2.828 Å and the angles 90.00°, 90.00° and 90.00°. Symmetry generates all atoms from Na at (0.000, 0.000, 0.000), Tc at (0.148, 0.352, 0.500) and C at (0.139, 0.639, 0.000).

12.
## NaTc3C (GGA-PBE)

Data for crystalline NaTc3C at its relaxed geometry.

The calculation puts the energy relative to the lowest polymorph listed for this composition at 15.88 eV per formula unit. For the volume, the calculation gives 18.28 Å³ per atom. Its density of states at the Fermi level is 2.09 states/eV per cell. The total moment is 1.19 μB/atom. The energy comes out at -4.5303 eV per atom. The calculation puts the formation energy at 3.798 eV per atom.

The structure belongs to space group Pm-3m (No. 221); the cell edges are 4.505, 4.505 and 4.505 Å and the angles 90.00°, 90.00° and 90.00°. Symmetry generates all atoms from Na at (0.000, 0.000, 0.000), Tc at (0.000, 0.000, 0.500) and C at (0.500, 0.500, 0.500).

> Among the records above, which one has the highest energy?

Na2SrZnC

> Which of these has the highest energy?

Na2SrZnC